# FeTc2Ag2, relaxed, DFT PBE
# * formation enthalpy at 0 K: 1.16 eV per atom
# * DOS at the Fermi energy: 7.190 states/eV/f.u.
data_FeTc2Ag2
_chemical_formula_sum 'Fe2 Tc4 Ag4'
_space_group_name_H-M_alt 'P 4/m b m'
_space_group_IT_number 127
_space_group_name_Hall '-P 4 2ab'
_cell_length_a 7.927
_cell_length_b 7.927
_cell_length_c 2.721
_cell_angle_alpha 90.00
_cell_angle_beta 90.00
_cell_angle_gamma 90.00
loop_
_atom_site_label
_atom_site_fract_x
_atom_site_fract_y
_atom_site_fract_z
_atom_site_occupancy
Fe1 0.000 0.000 0.000 1
Tc1 0.100 0.400 0.500 1
Ag1 0.192 0.692 0.000 1


# Fe2TcAg, relaxed, DFT PBE
# * formation enthalpy at 0 K: 0.58 eV per atom
# * DOS at the Fermi energy: 4.103 states/eV/f.u.
data_Fe2TcAg
_chemical_formula_sum 'Fe8 Tc4 Ag4'
_space_group_name_H-M_alt 'F -4 3 m'
_space_group_IT_number 216
_space_group_name_Hall 'F -4 2 3'
_cell_length_a 6.086
_cell_length_b 6.086
_cell_length_c 6.086
_cell_angle_alpha 90.00
_cell_angle_beta 90.00
_cell_angle_gamma 90.00
loop_
_atom_site_label
_atom_site_fract_x
_atom_site_fract_y
_atom_site_fract_z
_atom_site_occupancy
Fe1 0.000 0.000 0.000 1
Fe2 0.250 0.250 0.250 1
Tc1 0.250 0.250 0.750 1
Ag1 0.000 0.000 0.500 1


What did we get for relative energy among the computed polymorphs? Answer: 0.348, 0.278 eV/atom, in the order shown.
What did we get for total DFT energy (no corrections)? Answer: -5.824, -6.960 eV per atom, in the order shown.